## i
Tl3VIr | PBE | relaxed

Geometry as extended XYZ:
```
5
Lattice="5.2758 0.0000 0.0000 0.0000 5.2758 0.0000 0.0000 0.0000 5.2758" Properties=species:S:1:pos:R:3 pbc="T T T"
Ir 2.6379 2.6379 2.6379
Tl 0.0000 0.0000 2.6379
Tl 0.0000 2.6379 0.0000
Tl 2.6379 0.0000 0.0000
V 0.0000 0.0000 0.0000
```

## ii
Tl3VIr | PBE | relaxed

Geometry as extended XYZ:
```
5
Lattice="5.2662 0.0000 0.0000 0.0000 5.2662 0.0000 0.0000 0.0000 5.2662" Properties=species:S:1:pos:R:3 pbc="T T T"
V 2.6331 2.6331 2.6331
Ir 0.0000 0.0000 0.0000
Tl 2.6331 0.0000 0.0000
Tl 0.0000 0.0000 2.6331
Tl 0.0000 2.6331 0.0000
```

Which one sits at the bottom of the stability order? i does.

## i
TlVIr3 | PBE | relaxed

Geometry as extended XYZ:
```
5
Lattice="-4.7858 0.0540 1.1331 -0.6765 -4.0794 -2.6629 0.9106 -2.7469 3.9769" Properties=species:S:1:pos:R:3 pbc="T T T"
Ir -0.3382 -2.0397 -1.3314
Ir -2.3929 0.0270 0.5665
Ir 0.4553 -1.3735 1.9884
Tl 0.0000 0.0000 0.0000
V -2.2758 -3.3862 1.2235
```

## ii
TlVIr3 | PBE | relaxed

Geometry as extended XYZ:
```
5
Lattice="4.6008 0.0000 0.0000 0.0000 4.6008 0.0000 0.0000 0.0000 4.6008" Properties=species:S:1:pos:R:3 pbc="T T T"
Ir 0.0000 0.0000 2.3004
Ir 2.3004 0.0000 0.0000
Ir 0.0000 2.3004 0.0000
Tl 2.3004 2.3004 2.3004
V 0.0000 0.0000 0.0000
```

Which one sits at the bottom of the stability order? i does.